## Y6SnBi2Te3 (PBE)

Data for a geometry-optimized Y6SnBi2Te3 structure.

Total DFT energy (no corrections) = -6.119 eV/atom
Density of states at the Fermi level = 4.20 states/eV/f.u.
Crystal system = monoclinic
Magnetization = 0.00 μB/cell
Formation energy (no corrections) = -108.19 kJ/mol of atoms

Lattice parameters (Å, degrees): 19.268 4.427 8.831 90.00 103.02 90.00
Space group C2/m (No. 12)
Unique sites:
Y 0.000 0.000 0.238 [4 per cell]
Y 0.161 0.500 0.082 [4 per cell]
Y 0.167 0.500 0.582 [4 per cell]
Sn 0.000 0.500 0.000 [2 per cell]
Bi 0.167 0.000 0.334 [4 per cell]
Te 0.000 0.500 0.500 [2 per cell]
Te 0.169 0.000 0.834 [4 per cell]